VASP calculation (PBE) on a geometry-optimized Ce6AlHg2 structure.

abc: 9.0412 9.0412 3.0048
angles: 90.00 90.00 120.00
Space group P6/mmm (No. 191)
One atom of each set of equivalent atoms:
Ce  0.0000  0.3213  0.0000 (multiplicity 6)
Al  0.0000  0.0000  0.5000 (multiplicity 1)
Hg  0.3333  0.6667  0.5000 (multiplicity 2)

Properties
Energy of formation from the pure elements ... -0.17 eV per atom
Density ... 9.91 Mg/m³
Crystal system ... hexagonal
E ... -4.611 eV per atom
Magnetization ... 0.238 μB/atom
N(E_F) ... 23.0 states/eV/f.u.